Record 1
VASP calculation (PBE) on a geometry-optimized TeIr structure.

a b c (Å): 3.092 5.271 4.755
angles (deg): 90.00 90.00 90.00
Sites, in units of the cell vectors:
Te  0.000  0.000  0.000
Te  0.500  0.500  0.000
Ir  0.000  0.500  0.500
Ir  0.500  0.000  0.500

Results
- DOS at the Fermi energy: 0.50 states/eV/atom
- Formation energy without anion corrections: 0.7653 eV per atom
- Symmetry: Cmmm (65)
- Total moment: 0.000 Bohr magnetons per cell

Record 2
VASP calculation (PBE) on a geometry-optimized InAg3F6 structure.

a b c (Å): 6.259 6.259 6.259
angles (deg): 60.00 60.00 60.00
Sites, in units of the cell vectors:
In  0.000  0.000  0.000
Ag  0.250  0.250  0.250
Ag  0.500  0.500  0.500
Ag  0.750  0.750  0.750
F  0.236  0.236  0.764
F  0.236  0.764  0.236
F  0.236  0.764  0.764
F  0.764  0.236  0.236
F  0.764  0.236  0.764
F  0.764  0.764  0.236

Results
- E above lowest polymorph: 0.1442 eV per atom
- DOS at the Fermi energy: 0.44 states/eV/atom
- Formation energy without anion corrections: -1.4636 eV per atom
- Symmetry: Fm-3m (225)
- Total moment: 0.000 Bohr magnetons per cell

Record 3
VASP calculation (PBE) on a geometry-optimized GdTlF structure.

a b c (Å): 3.399 3.399 12.043
angles (deg): 90.00 90.00 90.00
Sites, in units of the cell vectors:
Gd  0.000  0.000  0.000
Gd  0.500  0.500  0.500
Tl  0.000  0.000  0.280
Tl  0.500  0.500  0.780
F  0.000  0.000  0.545
F  0.500  0.500  0.045

Results
- DOS at the Fermi energy: 1.40 states/eV/atom
- Formation energy without anion corrections: -1.5521 eV per atom
- Symmetry: I4mm (107)
- Total moment: 15.585 Bohr magnetons per cell

Record 4
VASP calculation (PBE) on a geometry-optimized Ce2Pr3Ho6Er structure.

a b c (Å): 6.187 6.187 11.761
angles (deg): 95.02 95.02 119.99
Sites, in units of the cell vectors:
Ce  0.166  0.834  0.000
Ce  0.834  0.166  0.000
Pr  0.000  0.000  0.500
Pr  0.334  0.666  0.500
Pr  0.666  0.334  0.500
Ho  0.083  0.418  0.755
Ho  0.246  0.246  0.245
Ho  0.418  0.083  0.755
Ho  0.582  0.917  0.245
Ho  0.754  0.754  0.755
Ho  0.917  0.582  0.245
Er  0.500  0.500  0.000

Results
- DFT formation energy: 45.4 meV per atom
- DOS at the Fermi energy: 1.66 states/eV/atom
- Symmetry: C2/m (12)
- Total moment: 1.934 Bohr magnetons per cell

Record 5
VASP calculation (PBE) on a geometry-optimized K6Hg3H structure.

a b c (Å): 8.862 10.777 9.126
angles (deg): 90.00 112.41 90.00
Sites, in units of the cell vectors:
K  0.062  0.001  0.306
K  0.062  0.499  0.806
K  0.285  0.685  0.564
K  0.285  0.815  0.064
K  0.286  0.185  0.064
K  0.286  0.315  0.564
K  0.714  0.685  0.436
K  0.714  0.815  0.936
K  0.715  0.185  0.936
K  0.715  0.315  0.436
K  0.938  0.501  0.194
K  0.938  0.999  0.694
Hg  0.351  0.000  0.743
Hg  0.351  0.500  0.243
Hg  0.500  0.000  0.500
Hg  0.500  0.500  0.000
Hg  0.649  0.000  0.257
Hg  0.649  0.500  0.757
H  0.000  0.000  0.000
H  0.000  0.500  0.500

Results
- DOS at the Fermi energy: 0.55 states/eV/atom
- Symmetry: P2_1/c (14)
- Total moment: 0.000 Bohr magnetons per cell
- E: -0.09109 Ry/atom

Record 6
VASP calculation (PBE) on a geometry-optimized K2TaGe structure.

a b c (Å): 13.302 13.302 4.983
angles (deg): 90.00 90.00 90.00
Sites, in units of the cell vectors:
K  0.032  0.250  0.125
K  0.250  0.532  0.375
K  0.250  0.968  0.875
K  0.468  0.250  0.625
K  0.532  0.750  0.625
K  0.750  0.032  0.875
K  0.750  0.468  0.375
K  0.968  0.750  0.125
Ta  0.000  0.000  0.500
Ta  0.000  0.500  0.750
Ta  0.500  0.000  0.250
Ta  0.500  0.500  0.000
Ge  0.000  0.000  0.000
Ge  0.000  0.500  0.250
Ge  0.500  0.000  0.750
Ge  0.500  0.500  0.500

Results
- DFT formation energy: 959.2 meV per atom
- DOS at the Fermi energy: 0.43 states/eV/atom
- Symmetry: I-42d (122)
- Total moment: 4.136 Bohr magnetons per cell

Record 7
VASP calculation (PBE) on a geometry-optimized Ca3PrPu2Te6 structure.

a b c (Å): 7.760 7.760 7.852
angles (deg): 99.49 99.49 119.99
Sites, in units of the cell vectors:
Ca  0.000  0.000  0.000
Ca  0.335  0.665  0.000
Ca  0.665  0.335  0.000
Pr  0.500  0.500  0.500
Pu  0.167  0.833  0.500
Pu  0.833  0.167  0.500
Te  0.079  0.416  0.248
Te  0.247  0.247  0.752
Te  0.416  0.079  0.248
Te  0.584  0.921  0.752
Te  0.753  0.753  0.248
Te  0.921  0.584  0.752

Results
- DOS at the Fermi energy: 2.39 states/eV/atom
- Formation energy without anion corrections: -1.3901 eV per atom
- Symmetry: C2/m (12)
- Total moment: 12.286 Bohr magnetons per cell

Record 8
VASP calculation (PBE) on a geometry-optimized Na3Y2GeO6 structure.

a b c (Å): 5.802 5.802 5.891
angles (deg): 99.25 99.25 120.04
Sites, in units of the cell vectors:
Na  0.000  0.000  0.000
Na  0.344  0.656  0.000
Na  0.656  0.344  0.000
Y  0.167  0.833  0.500
Y  0.833  0.167  0.500
Ge  0.500  0.500  0.500
O  0.113  0.431  0.289
O  0.249  0.249  0.709
O  0.431  0.113  0.289
O  0.569  0.887  0.711
O  0.751  0.751  0.291
O  0.887  0.569  0.711

Results
- DOS at the Fermi energy: 0.42 states/eV/atom
- Formation energy without anion corrections: -2.2501 eV per atom
- Symmetry: C2/m (12)
- Total moment: 0.019 Bohr magnetons per cell

Please write out number 7 again, unchanged.
VASP calculation (PBE) on a geometry-optimized Ca3PrPu2Te6 structure.

a b c (Å): 7.760 7.760 7.852
angles (deg): 99.49 99.49 119.99
Sites, in units of the cell vectors:
Ca  0.000  0.000  0.000
Ca  0.335  0.665  0.000
Ca  0.665  0.335  0.000
Pr  0.500  0.500  0.500
Pu  0.167  0.833  0.500
Pu  0.833  0.167  0.500
Te  0.079  0.416  0.248
Te  0.247  0.247  0.752
Te  0.416  0.079  0.248
Te  0.584  0.921  0.752
Te  0.753  0.753  0.248
Te  0.921  0.584  0.752

Results
- DOS at the Fermi energy: 2.39 states/eV/atom
- Formation energy without anion corrections: -1.3901 eV per atom
- Symmetry: C2/m (12)
- Total moment: 12.286 Bohr magnetons per cell

The lowest DOS at the Fermi energy belongs to which entry? Na3Y2GeO6

What is the formula in the fifth record? K6Hg3H